1.
The following is a PBE-GGA calculation of crystalline LiHgP2 at its relaxed geometry, from Alexandria.

Summary:
* energy of formation from the pure elements: 0.172 eV per atom
* final energy: -12.35 eV per formula unit

Cell lengths 5.706, 5.706, 5.706 Å; angles 142.81, 141.78, 54.39 degrees
Sites, in units of the cell vectors:
Hg  0.250  0.750  0.500
Li  0.750  0.250  0.500
P  0.991  0.991  0.000
P  0.509  0.509  0.000



2.
The following is a PBE-GGA calculation of crystalline LiHg2P at its relaxed geometry, from Alexandria.

Summary:
* energy of formation from the pure elements: 0.032 eV per atom
* final energy: -7.80 eV per formula unit

Cell lengths 3.741, 3.745, 5.619 Å; angles 90.00, 90.00, 90.00 degrees
Sites, in units of the cell vectors:
Hg  0.000  0.000  0.002
Hg  0.000  0.000  0.498
Li  0.500  0.500  0.250
P  0.500  0.500  0.750



3.
The following is a PBE-GGA calculation of crystalline LiHgP2 at its relaxed geometry, from Alexandria.

Summary:
* energy of formation from the pure elements: -0.035 eV per atom
* final energy: -13.17 eV per formula unit

Cell lengths 3.696, 3.696, 5.592 Å; angles 90.00, 90.00, 90.00 degrees
Sites, in units of the cell vectors:
Hg  0.500  0.500  0.250
Li  0.500  0.500  0.750
P  0.000  0.000  0.933
P  0.000  0.000  0.567



4.
The following is a PBE-GGA calculation of crystalline LiHg2P at its relaxed geometry, from Alexandria.

Summary:
* energy of formation from the pure elements: 0.036 eV per atom
* final energy: -7.78 eV per formula unit

Cell lengths 5.233, 5.233, 5.233 Å; angles 131.80, 131.80, 70.55 degrees
Sites, in units of the cell vectors:
Hg  0.000  0.000  0.000
Hg  0.500  0.500  0.000
Li  0.250  0.750  0.500
P  0.750  0.250  0.500



5.
The following is a PBE-GGA calculation of crystalline LiHg2P at its relaxed geometry, from Alexandria.

Summary:
* energy of formation from the pure elements: 0.076 eV per atom
* final energy: -7.62 eV per formula unit

Cell lengths 4.851, 4.851, 4.851 Å; angles 60.00, 60.00, 60.00 degrees
Sites, in units of the cell vectors:
Hg  0.000  0.000  0.000
Hg  0.750  0.750  0.750
Li  0.500  0.500  0.500
P  0.250  0.250  0.250



6.
The following is a PBE-GGA calculation of crystalline LiHg4P at its relaxed geometry, from Alexandria.

Summary:
* energy of formation from the pure elements: 0.325 eV per atom
* final energy: -6.58 eV per formula unit

Cell lengths 5.912, 5.912, 5.912 Å; angles 60.00, 60.00, 60.00 degrees
Sites, in units of the cell vectors:
Li  0.750  0.750  0.750
Hg  0.876  0.375  0.375
Hg  0.375  0.375  0.876
Hg  0.375  0.876  0.375
Hg  0.375  0.375  0.375
P  0.000  0.000  0.000



Repeat the first record exactly.
The following is a PBE-GGA calculation of crystalline LiHgP2 at its relaxed geometry, from Alexandria.

Summary:
* energy of formation from the pure elements: 0.172 eV per atom
* final energy: -12.35 eV per formula unit

Cell lengths 5.706, 5.706, 5.706 Å; angles 142.81, 141.78, 54.39 degrees
Sites, in units of the cell vectors:
Hg  0.250  0.750  0.500
Li  0.750  0.250  0.500
P  0.991  0.991  0.000
P  0.509  0.509  0.000